Record 1
DFT (GGA-PBE) results for a relaxed structure of Ba3YRh2O9.

Lattice parameters (Å, degrees): 5.884 5.884 7.243 90.00 90.00 120.00
Element x y z (fractional)
1 Rh 0.333 0.667 0.160
2 Rh 0.667 0.333 0.840
3 Ba 0.000 0.000 0.000
4 Ba 0.333 0.667 0.677
5 Ba 0.667 0.333 0.323
6 Y 0.000 0.000 0.500
7 O 0.500 0.000 0.000
8 O 0.176 0.353 0.320
9 O 0.176 0.824 0.320
10 O 0.824 0.647 0.680
11 O 0.824 0.176 0.680
12 O 0.647 0.824 0.320
13 O 0.500 0.500 0.000
14 O 0.353 0.176 0.680
15 O 0.000 0.500 0.000

Computed properties:
The value obtained for the magnetization is 3.081 μB/f.u. As for the raw formation energy: -2.029 eV per atom.

***

Record 2
DFT (GGA-PBE) results for a relaxed structure of Ba2YRh3O12.

Lattice parameters (Å, degrees): 6.957 6.957 6.957 63.50 63.50 63.50
Element x y z (fractional)
1 O 0.117 0.701 0.701
2 O 0.883 0.299 0.299
3 O 0.121 0.607 0.121
4 O 0.607 0.121 0.121
5 O 0.701 0.701 0.117
6 O 0.393 0.879 0.879
7 O 0.879 0.879 0.393
8 O 0.879 0.393 0.879
9 O 0.299 0.299 0.883
10 O 0.701 0.117 0.701
11 O 0.299 0.883 0.299
12 O 0.121 0.121 0.607
13 Rh 0.000 0.000 0.500
14 Rh 0.500 0.000 0.000
15 Rh 0.000 0.500 0.000
16 Ba 0.613 0.613 0.613
17 Ba 0.387 0.387 0.387
18 Y 0.000 0.000 0.000

Computed properties:
The value obtained for the magnetization is 1.956 μB/f.u. As for the raw formation energy: -1.357 eV per atom.